Below is a relaxed Ba8ZnAg2 crystal, with properties calculated at the PBE level.

- DFT formation energy (eV per atom) = -0.08
- energy (eV per atom) = -2.1163

Cell lengths 5.8651, 8.2230, 11.1402 Å; angles 104.59, 105.26, 90.00 degrees
Last column: nearest neighbours and their distance in Å.
Sites, in units of the cell vectors:
1 Ba 0.2082 0.3276 0.4165  3 Ag 3.40-3.77
2 Ag 0.8112 0.2748 0.6225  7 Ba 3.40-3.77
3 Ba 0.4100 0.5630 0.8200  1 Zn 3.61, 2 Ag 4.01
4 Ag 0.1888 0.7252 0.3775  7 Ba 3.40-3.77
5 Ba 0.5900 0.4370 0.1800  1 Zn 3.61, 2 Ag 4.01
6 Ba 0.9650 0.1986 0.9301  1 Ag 3.52, 2 Zn 3.53, 1 Ba 3.94
7 Ba 0.6652 0.9708 0.3303  3 Ag 3.47-3.67, 1 Zn 3.62
8 Ba 0.7918 0.6724 0.5835  3 Ag 3.40-3.77
9 Zn 0.5000 0.0000 0.0000  8 Ba 3.53-3.62
10 Ba 0.0350 0.8014 0.0699  1 Ag 3.52, 2 Zn 3.53, 1 Ba 3.94
11 Ba 0.3348 0.0292 0.6697  3 Ag 3.47-3.67, 1 Zn 3.62

Below is a relaxed Ba12ZnAg6 crystal, with properties calculated at the PBE level.

- DFT formation energy (eV per atom) = -0.11
- energy (eV per atom) = -2.2905

Cell lengths 9.8975, 9.8975, 9.8975 Å; angles 100.33, 100.33, 100.33 degrees
Last column: nearest neighbours and their distance in Å.
Sites, in units of the cell vectors:
1 Ba 0.5706 0.1775 0.4163  4 Ag 3.37-3.58
2 Ba 0.6785 0.9197 0.0502  1 Zn 3.29, 2 Ag 3.39-3.40
3 Ba 0.9498 0.3215 0.0803  1 Zn 3.29, 2 Ag 3.39-3.40
4 Ag 0.6209 0.3132 0.1354  6 Ba 3.37-3.58
5 Ba 0.4294 0.8225 0.5837  4 Ag 3.37-3.58
6 Ag 0.6868 0.8646 0.3791  6 Ba 3.37-3.58
7 Ba 0.4163 0.5706 0.1775  4 Ag 3.37-3.58
8 Ba 0.0803 0.9498 0.3215  1 Zn 3.29, 2 Ag 3.39-3.40
9 Ag 0.8646 0.3791 0.6868  6 Ba 3.37-3.58
10 Ag 0.3132 0.1354 0.6209  6 Ba 3.37-3.58
11 Ba 0.9197 0.0502 0.6785  1 Zn 3.29, 2 Ag 3.39-3.40
12 Ba 0.1775 0.4163 0.5706  4 Ag 3.37-3.58
13 Zn 0.0000 0.0000 0.0000  6 Ba 3.29
14 Ba 0.8225 0.5837 0.4294  4 Ag 3.37-3.58
15 Ag 0.3791 0.6868 0.8646  6 Ba 3.37-3.58
16 Ag 0.1354 0.6209 0.3132  6 Ba 3.37-3.58
17 Ba 0.0502 0.6785 0.9197  1 Zn 3.29, 2 Ag 3.39-3.40
18 Ba 0.3215 0.0803 0.9498  1 Zn 3.29, 2 Ag 3.39-3.40
19 Ba 0.5837 0.4294 0.8225  4 Ag 3.37-3.58

Below is a relaxed BaZn2Ag crystal, with properties calculated at the PBE level.

- DFT formation energy (eV per atom) = -0.11
- energy (eV per atom) = -1.9428

Cell lengths 4.7939, 5.1265, 4.6480 Å; angles 90.02, 90.00, 90.00 degrees
Last column: nearest neighbours and their distance in Å.
Sites, in units of the cell vectors:
1 Zn 0.0000 0.0031 0.2501  2 Zn 2.53-2.60, 2 Ag 2.71
2 Ba 0.5000 0.7500 0.7500  4 Ag 3.46, 8 Zn 3.58
3 Zn 0.0000 0.4969 0.2499  2 Zn 2.53-2.60, 2 Ag 2.71
4 Ag 0.5000 0.2500 0.2500  4 Zn 2.71

Below is a relaxed Ba2ZnAg5 crystal, with properties calculated at the PBE level.

- DFT formation energy (eV per atom) = -0.18
- energy (eV per atom) = -2.5990

Cell lengths 4.8674, 9.2104, 9.9104 Å; angles 90.00, 90.00, 105.32 degrees
Last column: nearest neighbours and their distance in Å.
Sites, in units of the cell vectors:
1 Ag 0.3506 0.7011 0.9738  1 Zn 2.72, 3 Ag 2.83-2.93
2 Ba 0.0000 0.0000 0.0000  6 Ag 3.39-3.61, 4 Zn 3.64
3 Ag 0.6494 0.2989 0.0262  1 Zn 2.72, 3 Ag 2.83-2.93
4 Zn 0.5613 0.1226 0.2500  3 Ag 2.71-2.72
5 Ba 0.2097 0.4194 0.2500  13 Ag 3.42-3.71, 2 Zn 3.59
6 Ba 0.7903 0.5806 0.7500  13 Ag 3.42-3.71, 2 Zn 3.59
7 Ag 0.8193 0.6386 0.3911  4 Ag 2.80-3.13
8 Ag 0.3506 0.7011 0.5262  1 Zn 2.72, 3 Ag 2.83-2.93
9 Ag 0.8193 0.6386 0.1089  4 Ag 2.80-3.13
10 Ba 0.0000 0.0000 0.5000  6 Ag 3.39-3.61, 4 Zn 3.64
11 Ag 0.1807 0.3614 0.6089  4 Ag 2.80-3.13
12 Ag 0.1807 0.3614 0.8911  4 Ag 2.80-3.13
13 Zn 0.4387 0.8774 0.7500  3 Ag 2.71-2.72
14 Ag 0.5913 0.1826 0.7500  1 Zn 2.71, 2 Ag 2.93
15 Ag 0.6494 0.2989 0.4738  1 Zn 2.72, 3 Ag 2.83-2.93
16 Ag 0.4087 0.8174 0.2500  1 Zn 2.71, 2 Ag 2.93

Below is a relaxed BaZn2Ag crystal, with properties calculated at the PBE level.

- DFT formation energy (eV per atom) = -0.20
- energy (eV per atom) = -2.0260

Cell lengths 4.5907, 4.5907, 6.3649 Å; angles 68.75, 68.75, 60.02 degrees
Last column: nearest neighbours and their distance in Å.
Sites, in units of the cell vectors:
1 Zn 0.4453 0.4453 0.6637  3 Ag 2.70, 3 Zn 2.83
2 Zn 0.0547 0.0547 0.8363  3 Ag 2.70, 3 Zn 2.83
3 Ag 0.7500 0.7500 0.7500  6 Zn 2.70
4 Ba 0.2500 0.2500 0.2500  8 Zn 3.39-3.57

Below is a relaxed Ba4ZnAg2 crystal, with properties calculated at the PBE level.

- DFT formation energy (eV per atom) = -0.03
- energy (eV per atom) = -2.1209

Cell lengths 6.4327, 6.4327, 9.3005 Å; angles 110.23, 110.23, 90.00 degrees
Last column: nearest neighbours and their distance in Å.
Sites, in units of the cell vectors:
1 Ba 0.0000 0.5000 0.0000  2 Zn 3.22, 4 Ag 3.52
2 Zn 0.0000 0.0000 0.0000  6 Ba 3.22-3.36
3 Ag 0.4123 0.4123 0.8245  1 Ag 2.85
4 Ba 0.5000 0.0000 0.0000  2 Zn 3.22, 4 Ag 3.52
5 Ba 0.7926 0.7926 0.5852  1 Ag 3.32, 1 Zn 3.36
6 Ag 0.5877 0.5877 0.1755  1 Ag 2.85
7 Ba 0.2074 0.2074 0.4148  1 Ag 3.32, 1 Zn 3.36

Below is a relaxed BaZnAg2 crystal, with properties calculated at the PBE level.

- DFT formation energy (eV per atom) = -0.21
- energy (eV per atom) = -2.4307

Cell lengths 4.8179, 9.7594, 10.4939 Å; angles 117.71, 103.27, 90.00 degrees
Last column: nearest neighbours and their distance in Å.
Sites, in units of the cell vectors:
1 Ba 0.7110 0.7110 0.4220  9 Ag 3.41-3.59, 6 Zn 3.50-3.51
2 Ba 0.5000 0.7607 0.0000  6 Ag 3.33-3.71, 4 Zn 3.68
3 Ag 0.6784 0.0326 0.3568  2 Zn 2.69, 1 Ag 2.85
4 Ag 0.3216 0.6757 0.6432  2 Zn 2.69, 1 Ag 2.85
5 Zn 0.1546 0.4155 0.3093  4 Ag 2.69-2.81
6 Zn 0.8454 0.1062 0.6907  4 Ag 2.69-2.81
7 Zn 0.1546 0.8938 0.3093  4 Ag 2.69-2.81
8 Ag 0.3216 0.9674 0.6432  2 Zn 2.69, 1 Ag 2.85
9 Ag 0.0768 0.5768 0.1537  2 Zn 2.72, 1 Ag 2.76
10 Zn 0.8454 0.5845 0.6907  4 Ag 2.69-2.81
11 Ba 0.2890 0.2890 0.5780  9 Ag 3.41-3.59, 6 Zn 3.50-3.51
12 Ag 0.0888 0.0888 0.1776  2 Zn 2.81
13 Ag 0.6784 0.3243 0.3568  2 Zn 2.69, 1 Ag 2.85
14 Ba 0.5000 0.2393 0.0000  6 Ag 3.33-3.71, 4 Zn 3.68
15 Ag 0.9112 0.9112 0.8224  2 Zn 2.81
16 Ag 0.9232 0.4232 0.8463  2 Zn 2.72, 1 Ag 2.76

Below is a relaxed Ba2Zn3Ag5 crystal, with properties calculated at the PBE level.

- DFT formation energy (eV per atom) = -0.17
- energy (eV per atom) = -2.3640

Cell lengths 4.7142, 4.7142, 10.9631 Å; angles 90.00, 90.00, 90.00 degrees
Last column: nearest neighbours and their distance in Å.
Sites, in units of the cell vectors:
1 Zn 0.0000 0.5000 0.3882  3 Ag 2.65-2.66, 2 Zn 2.66
2 Ba 0.5000 0.0000 0.2526  10 Ag 3.53-3.64, 7 Zn 3.59-3.94
3 Ag 0.5000 0.5000 0.0000  4 Ag 2.85
4 Ag 0.5000 0.0000 0.8537  1 Zn 2.65, 4 Ag 2.85
5 Ag 0.5000 0.5000 0.5000  4 Zn 2.66
6 Zn 0.5000 0.0000 0.6118  3 Ag 2.65-2.66, 2 Zn 2.66
7 Ba 0.0000 0.5000 0.7474  10 Ag 3.53-3.64, 7 Zn 3.59-3.94
8 Ag 0.0000 0.0000 0.0000  4 Ag 2.85
9 Zn 0.0000 0.0000 0.5000  4 Zn 2.66
10 Ag 0.0000 0.5000 0.1463  1 Zn 2.65, 4 Ag 2.85

Below is a relaxed BaZnAg2 crystal, with properties calculated at the PBE level.

- DFT formation energy (eV per atom) = -0.08
- energy (eV per atom) = -2.3069

Cell lengths 5.3331, 5.3331, 9.7007 Å; angles 74.04, 74.04, 90.00 degrees
Last column: nearest neighbours and their distance in Å.
Sites, in units of the cell vectors:
1 Zn 0.2500 0.7500 0.5000  4 Ag 2.60
2 Ag 0.3750 0.6245 0.7500  2 Zn 2.60, 2 Ag 2.67
3 Ba 0.7500 0.2500 0.5000  8 Ag 3.72-3.73, 4 Zn 3.77
4 Ag 0.8750 0.6255 0.7500  2 Zn 2.60, 2 Ag 2.67
5 Zn 0.5000 0.5000 0.0000  4 Ag 2.60
6 Ag 0.3745 0.6250 0.2500  2 Zn 2.60, 2 Ag 2.67
7 Ag 0.3755 0.1250 0.2500  2 Zn 2.60, 2 Ag 2.67
8 Ba 0.0000 0.0000 0.0000  8 Ag 3.72-3.73, 4 Zn 3.77

Below is a relaxed Ba3ZnAg3 crystal, with properties calculated at the PBE level.

- DFT formation energy (eV per atom) = -0.10
- energy (eV per atom) = -2.3269

Cell lengths 6.7596, 9.8127, 9.8127 Å; angles 120.00, 90.00, 90.00 degrees
Last column: nearest neighbours and their distance in Å.
Sites, in units of the cell vectors:
1 Ag 0.2500 0.3873 0.0719  1 Zn 2.66
2 Zn 0.7500 0.3333 0.6667  3 Ag 2.66
3 Ag 0.7500 0.3154 0.3873  1 Zn 2.66
4 Zn 0.2500 0.6667 0.3333  3 Ag 2.66
5 Ba 0.2500 0.6389 0.9372  5 Ag 3.33-3.43
6 Ba 0.7500 0.9372 0.2984  5 Ag 3.33-3.43
7 Ba 0.7500 0.7016 0.6389  5 Ag 3.33-3.43
8 Ag 0.7500 0.6127 0.9281  1 Zn 2.66
9 Ag 0.2500 0.6846 0.6127  1 Zn 2.66
10 Ba 0.2500 0.0628 0.7016  5 Ag 3.33-3.43
11 Ag 0.7500 0.0719 0.6846  1 Zn 2.66
12 Ba 0.7500 0.3611 0.0628  5 Ag 3.33-3.43
13 Ag 0.2500 0.9281 0.3154  1 Zn 2.66
14 Ba 0.2500 0.2984 0.3611  5 Ag 3.33-3.43

Below is a relaxed Ba2ZnAg crystal, with properties calculated at the PBE level.

- DFT formation energy (eV per atom) = -0.08
- energy (eV per atom) = -2.0732

Cell lengths 4.0104, 4.0104, 9.0700 Å; angles 90.00, 90.00, 90.02 degrees
Last column: nearest neighbours and their distance in Å.
Sites, in units of the cell vectors:
1 Ag 0.5000 0.5000 0.6936  4 Zn 3.11, 1 Ba 3.27
2 Zn 0.0000 0.0000 0.5536  4 Ag 3.11, 5 Ba 3.32-3.47
3 Ba 0.0000 0.0000 0.9196  1 Zn 3.32, 4 Ag 3.50
4 Ba 0.5000 0.5000 0.3332  1 Ag 3.27, 4 Zn 3.47

Below is a relaxed BaZn2Ag crystal, with properties calculated at the PBE level.

- DFT formation energy (eV per atom) = -0.19
- energy (eV per atom) = -2.0193

Cell lengths 4.5778, 6.3697, 7.1546 Å; angles 90.00, 90.00, 90.00 degrees
Last column: nearest neighbours and their distance in Å.
Sites, in units of the cell vectors:
1 Ba 0.5000 0.8954 0.0000  8 Zn 3.48-3.61, 4 Ag 3.64-3.88
2 Zn 0.5000 0.3906 0.2045  3 Ag 2.72-2.74, 3 Zn 2.76-2.93
3 Zn 0.0000 0.6094 0.2955  3 Ag 2.72-2.74, 3 Zn 2.76-2.93
4 Ag 0.5000 0.6600 0.5000  6 Zn 2.72-2.74
5 Ba 0.0000 0.1046 0.5000  8 Zn 3.48-3.61, 4 Ag 3.64-3.88
6 Zn 0.0000 0.6094 0.7045  3 Ag 2.72-2.74, 3 Zn 2.76-2.93
7 Ag 0.0000 0.3400 0.0000  6 Zn 2.72-2.74
8 Zn 0.5000 0.3906 0.7955  3 Ag 2.72-2.74, 3 Zn 2.76-2.93

Please write out number 10 again, unchanged.
Below is a relaxed Ba3ZnAg3 crystal, with properties calculated at the PBE level.

- DFT formation energy (eV per atom) = -0.10
- energy (eV per atom) = -2.3269

Cell lengths 6.7596, 9.8127, 9.8127 Å; angles 120.00, 90.00, 90.00 degrees
Last column: nearest neighbours and their distance in Å.
Sites, in units of the cell vectors:
1 Ag 0.2500 0.3873 0.0719  1 Zn 2.66
2 Zn 0.7500 0.3333 0.6667  3 Ag 2.66
3 Ag 0.7500 0.3154 0.3873  1 Zn 2.66
4 Zn 0.2500 0.6667 0.3333  3 Ag 2.66
5 Ba 0.2500 0.6389 0.9372  5 Ag 3.33-3.43
6 Ba 0.7500 0.9372 0.2984  5 Ag 3.33-3.43
7 Ba 0.7500 0.7016 0.6389  5 Ag 3.33-3.43
8 Ag 0.7500 0.6127 0.9281  1 Zn 2.66
9 Ag 0.2500 0.6846 0.6127  1 Zn 2.66
10 Ba 0.2500 0.0628 0.7016  5 Ag 3.33-3.43
11 Ag 0.7500 0.0719 0.6846  1 Zn 2.66
12 Ba 0.7500 0.3611 0.0628  5 Ag 3.33-3.43
13 Ag 0.2500 0.9281 0.3154  1 Zn 2.66
14 Ba 0.2500 0.2984 0.3611  5 Ag 3.33-3.43

Question: What is the DFT formation energy in the first record?
Answer: -0.08 eV per atom

Question: Among the records above, which one has the highest energy?
Answer: number 3

Question: Which value of energy does entry 12 give?
Answer: -2.0193 eV per atom